Entry P
NaTcP2S PBE-GGA relaxed; crystal system = tetragonal
1.0
-0.742 -3.816 -2.309
3.684 0.795 -2.497
2.927 -2.668 3.468
P S Tc Na
2 1 1 1
Cartesian
1.842 0.398 -1.249
-0.371 -1.908 -1.155
1.463 -1.334 1.734
0.000 0.000 0.000
2.935 -2.844 -0.669

Entry Q
NaTcP2S PBE-GGA relaxed; crystal system = tetragonal
1.0
-0.806 3.288 3.156
1.021 -2.993 3.379
4.416 1.277 -0.203
P S Tc Na
2 1 1 1
Cartesian
0.510 -1.496 1.689
-0.403 1.644 1.578
2.208 0.639 -0.102
2.316 0.786 3.166
0.000 0.000 0.000

In terms of stability, entry P leads; the second structure lies 1788 meV/atom higher.